The following is a DFT calculation (PBE) of CoP2ICl after structural relaxation.

Values from the calculation:
The density of states at the Fermi level is 4.5 states/eV per cell. The calculation puts the energy relative to the lowest polymorph listed for this composition at 0.00 eV/f.u. As for the magnetization: 0.00 μB/atom.

Lattice parameters (Å, degrees): 4.510 4.510 4.695 90.00 90.00 90.00
Sites, in units of the cell vectors:
I1 0.500 0.500 0.500
P1 0.000 0.500 0.000
P2 0.500 0.000 0.000
Co1 0.000 0.000 0.000
Cl1 0.000 0.000 0.500



The following is a DFT calculation (PBE) of CoPb2ICl after structural relaxation.

Values from the calculation:
The density of states at the Fermi level is 2.0 states/eV per cell. As for the magnetization: 0.18 μB/atom. Its total energy is -3.7076 eV/atom.

Lattice parameters (Å, degrees): 5.259 4.820 5.259 90.00 90.00 90.00
Last column: magnetic moment on the atom in μB.
Sites, in units of the cell vectors:
Pb1 0.000 0.000 0.500  -0.01
Pb2 0.500 0.000 0.000  -0.04
I1 0.500 0.500 0.500  -0.01
Co1 0.000 0.000 0.000  0.99
Cl1 0.000 0.500 0.000  0.00